Tb6Ho2Er5 | PBE | optimized geometry

- Energy relative to the elements: 100 meV/atom
- Fermi-level density of states: 29.71 states/eV per cell

a b c (Å): 11.542 20.060 3.556
angles (deg): 90.00 90.00 90.00
Space group Pbam (No. 55)
Inequivalent atoms, fractional coordinates:
1 Tb 0.059 0.081 0.000
2 Tb 0.084 0.368 0.000
3 Tb 0.172 0.635 0.500
4 Ho 0.166 0.790 0.000
5 Er 0.000 0.500 0.500
6 Er 0.092 0.226 0.500
7 Er 0.198 0.949 0.500